Entry 1:
Crystalline Sc2NbSn at its relaxed geometry, computed with PBE.

Lattice parameters (Å, degrees): 4.4733 4.4733 4.1937 90.00 90.00 90.00
Closest atoms and distances in Å follow each position.
Atoms (fractional coordinates):
Sc (0.0000, 0.5000, 0.0000)  4 Nb 3.07, 4 Sn 3.07, 4 Sc 3.16
Sc (0.5000, 0.0000, 0.0000)  4 Nb 3.07, 4 Sn 3.07, 4 Sc 3.16
Nb (0.0000, 0.0000, 0.5000)  8 Sc 3.07, 4 Sn 3.16
Sn (0.5000, 0.5000, 0.5000)  8 Sc 3.07, 4 Nb 3.16

Calculated values
crystal system = tetragonal
spin magnetization = 0.0000 μB per atom
energy of formation from the pure elements = -0.27 eV/atom
calculated volume = 20.98 Å³ per atom

=====

Entry 2:
Crystalline Sc2NbSn2 at its relaxed geometry, computed with PBE.

Lattice parameters (Å, degrees): 7.4896 7.4896 3.9663 90.00 90.00 90.00
Closest atoms and distances in Å follow each position.
Atoms (fractional coordinates):
Sc (0.1690, 0.3310, 0.0000)  6 Sn 2.85-3.05
Sc (0.3310, 0.8310, 0.0000)  6 Sn 2.85-3.05
Sc (0.6690, 0.1690, 0.0000)  6 Sn 2.85-3.05
Sc (0.8310, 0.6690, 0.0000)  6 Sn 2.85-3.05
Nb (0.0000, 0.0000, 0.5000)  4 Sn 2.90
Nb (0.5000, 0.5000, 0.5000)  4 Sn 2.90
Sn (0.1383, 0.6383, 0.5000)  6 Sc 2.85-3.05, 2 Nb 2.90, 1 Sn 2.93
Sn (0.3617, 0.1383, 0.5000)  6 Sc 2.85-3.05, 2 Nb 2.90, 1 Sn 2.93
Sn (0.6383, 0.8617, 0.5000)  6 Sc 2.85-3.05, 2 Nb 2.90, 1 Sn 2.93
Sn (0.8617, 0.3617, 0.5000)  6 Sc 2.85-3.05, 2 Nb 2.90, 1 Sn 2.93

Calculated values
crystal system = tetragonal
spin magnetization = 0.0000 μB per atom
energy of formation from the pure elements = -0.37 eV/atom
calculated volume = 22.25 Å³ per atom

=====

Entry 3:
Crystalline ScNb2Sn at its relaxed geometry, computed with PBE.

Lattice parameters (Å, degrees): 7.8340 7.8340 5.6703 90.00 90.00 90.00
Closest atoms and distances in Å follow each position.
Atoms (fractional coordinates):
Sc (0.0000, 0.0000, 0.0000)  2 Sn 2.84, 4 Nb 2.95
Sc (0.0000, 0.5000, 0.2500)  2 Sn 2.84, 4 Nb 2.95
Sc (0.5000, 0.0000, 0.7500)  2 Sn 2.84, 4 Nb 2.95
Sc (0.5000, 0.5000, 0.5000)  2 Sn 2.84, 4 Nb 2.95
Nb (0.2325, 0.2500, 0.6250)  2 Sn 2.77, 2 Nb 2.85, 2 Sc 2.95
Nb (0.2500, 0.7325, 0.8750)  2 Sn 2.77, 2 Nb 2.85, 2 Sc 2.95
Nb (0.2500, 0.7675, 0.3750)  2 Sn 2.77, 2 Nb 2.85, 2 Sc 2.95
Nb (0.2675, 0.2500, 0.1250)  2 Sn 2.77, 2 Nb 2.85, 2 Sc 2.95
Nb (0.7325, 0.7500, 0.1250)  2 Sn 2.77, 2 Nb 2.85, 2 Sc 2.95
Nb (0.7500, 0.2325, 0.3750)  2 Sn 2.77, 2 Nb 2.85, 2 Sc 2.95
Nb (0.7500, 0.2675, 0.8750)  2 Sn 2.77, 2 Nb 2.85, 2 Sc 2.95
Nb (0.7675, 0.7500, 0.6250)  2 Sn 2.77, 2 Nb 2.85, 2 Sc 2.95
Sn (0.0000, 0.0000, 0.5000)  4 Nb 2.77, 2 Sc 2.84
Sn (0.0000, 0.5000, 0.7500)  4 Nb 2.77, 2 Sc 2.84
Sn (0.5000, 0.0000, 0.2500)  4 Nb 2.77, 2 Sc 2.84
Sn (0.5000, 0.5000, 0.0000)  4 Nb 2.77, 2 Sc 2.84

Calculated values
crystal system = tetragonal
spin magnetization = 0.0000 μB per atom
energy of formation from the pure elements = 0.44 eV/atom
calculated volume = 21.75 Å³ per atom

=====

Entry 4:
Crystalline Sc2NbSn at its relaxed geometry, computed with PBE.

Lattice parameters (Å, degrees): 4.1532 4.1532 20.9005 90.00 90.00 90.00
Closest atoms and distances in Å follow each position.
Atoms (fractional coordinates):
Sc (0.2453, 0.2500, 0.1250)  4 Sc 2.91-2.96, 2 Nb 2.99, 2 Sn 3.00
Sc (0.2500, 0.7453, 0.3750)  4 Sc 2.91-2.96, 2 Nb 2.99, 2 Sn 3.00
Sc (0.2500, 0.7547, 0.8750)  4 Sc 2.91-2.96, 2 Nb 2.99, 2 Sn 3.00
Sc (0.2547, 0.2500, 0.6250)  4 Sc 2.91-2.96, 2 Nb 2.99, 2 Sn 3.00
Sc (0.7453, 0.7500, 0.6250)  4 Sc 2.91-2.96, 2 Nb 2.99, 2 Sn 3.00
Sc (0.7500, 0.2453, 0.8750)  4 Sc 2.91-2.96, 2 Nb 2.99, 2 Sn 3.00
Sc (0.7500, 0.2547, 0.3750)  4 Sc 2.91-2.96, 2 Nb 2.99, 2 Sn 3.00
Sc (0.7547, 0.7500, 0.1250)  4 Sc 2.91-2.96, 2 Nb 2.99, 2 Sn 3.00
Nb (0.0000, 0.0000, 0.0000)  4 Sn 2.94, 4 Sc 2.99
Nb (0.0000, 0.5000, 0.2500)  4 Sn 2.94, 4 Sc 2.99
Nb (0.5000, 0.0000, 0.7500)  4 Sn 2.94, 4 Sc 2.99
Nb (0.5000, 0.5000, 0.5000)  4 Sn 2.94, 4 Sc 2.99
Sn (0.0000, 0.0000, 0.5000)  4 Nb 2.94, 4 Sc 3.00
Sn (0.0000, 0.5000, 0.7500)  4 Nb 2.94, 4 Sc 3.00
Sn (0.5000, 0.0000, 0.2500)  4 Nb 2.94, 4 Sc 3.00
Sn (0.5000, 0.5000, 0.0000)  4 Nb 2.94, 4 Sc 3.00

Calculated values
crystal system = tetragonal
spin magnetization = 0.1667 μB per atom
energy of formation from the pure elements = 0.23 eV/atom
calculated volume = 22.53 Å³ per atom